(1)
This record from the Alexandria database describes Ca3CuB after structural relaxation. The functional is PBEsol.

Lattice parameters (Å, degrees): 5.267 5.267 5.267 90.00 90.00 90.00
Element x y z (fractional)
Ca1 0.500 0.000 0.000
Ca2 0.000 0.000 0.500
Ca3 0.000 0.500 0.000
Cu1 0.000 0.000 0.000
B1 0.500 0.500 0.500

Results
The calculation puts the formation energy at 0.875 eV per atom. The value obtained for the total energy is -2.675 eV/atom. The calculation puts the density at 2212 kg/m3.

***

(2)
This record from the Alexandria database describes Zn2AgPt after structural relaxation. The functional is PBEsol.

Lattice parameters (Å, degrees): 3.721 3.721 4.964 112.01 112.01 90.00
Element x y z (fractional)
Pt1 0.250 0.750 0.500
Zn1 0.750 0.250 0.500
Zn2 0.000 0.000 0.000
Ag1 0.500 0.500 0.000

Results
The calculation puts the formation energy at -0.269 eV per atom. The value obtained for the total energy is -3.629 eV/atom. The calculation puts the density at 12356 kg/m3.

***

The lowest density belongs to which entry?
Ca3CuB